BaYWO6 | PBE+U | optimized geometry

a b c (Å): 5.7157 5.7157 5.5842
angles (deg): 90.00 90.00 120.00
With the nearest neighbours (Å) after each atom.
Sites, in units of the cell vectors:
Ba: 0.0000 0.0000 0.0000  6 O 2.75
Y: 0.3333 0.6667 0.5000  6 O 2.26
W: 0.6667 0.3333 0.5000  6 O 1.96
O: 0.3990 0.0394 0.6990  1 W 1.96
O: 0.3990 0.3596 0.3010  1 W 1.96
O: 0.6404 0.0394 0.3010  1 W 1.96
O: 0.6404 0.6010 0.6990  1 W 1.96
O: 0.9606 0.3596 0.6990  1 W 1.96
O: 0.9606 0.6010 0.3010  1 W 1.96

Calculated values
- E_tot: -7.538 eV per atom
- Size of the total moment: 0.1193 μB per atom
- Space-group type: No. 149